A plane-wave DFT calculation with PBE was carried out for an optimized crystal structure of HfScAlCu.

It has space group F-43m (No. 216), with a = 6.639 Å, b = 6.639 Å, c = 6.639 Å, α = 90.00°, β = 90.00° and γ = 90.00°. The inequivalent atoms are Hf at (0.000, 0.000, 0.000), Sc at (0.000, 0.000, 0.500), Al at (0.250, 0.250, 0.750) and Cu at (0.250, 0.250, 0.250).

For the calculated formation energy, the calculation gives -0.240 eV per atom.

---

A plane-wave DFT calculation with PBE was carried out for an optimized crystal structure of Ac4Sb2SeBr.

It has space group P2/m (No. 10), with a = 7.876 Å, b = 4.697 Å, c = 8.179 Å, α = 90.00°, β = 109.97° and γ = 90.00°. The inequivalent atoms are Ac at (0.243, 0.000, 0.238), Ac at (0.249, 0.500, 0.760), Sb at (0.500, 0.000, 0.000), Sb at (0.500, 0.500, 0.500), Se at (0.000, 0.500, 0.000) and Br at (0.000, 0.000, 0.500).

The total energy comes out at -5.120 eV/atom.

---

A plane-wave DFT calculation with PBE was carried out for an optimized crystal structure of YTm3Th3.

It has space group P6_3/m (No. 176), with a = 9.4143 Å, b = 9.4143 Å, c = 5.7979 Å, α = 90.00°, β = 90.00° and γ = 120.00°. The inequivalent atoms are Y at (0.3333, 0.6667, 0.2500), Tm at (0.0915, 0.6201, 0.7500) and Th at (0.0454, 0.8104, 0.2500).

For the calculated formation energy, the calculation gives 0.036 eV per atom. The calculation puts the excess energy over the best structure of this formula in the dataset at 0.0 kJ/mol of atoms.

---

A plane-wave DFT calculation with PBE was carried out for an optimized crystal structure of RbSnP2O.

It has space group P4/mmm (No. 123), with a = 5.375 Å, b = 5.375 Å, c = 4.234 Å, α = 90.00°, β = 90.00° and γ = 90.00°. The inequivalent atoms are Rb at (0.000, 0.000, 0.000), Sn at (0.500, 0.500, 0.500), P at (0.000, 0.500, 0.500) and O at (0.500, 0.500, 0.000).

The calculation puts the excess energy over the best structure of this formula in the dataset at 0.0 kJ/mol of atoms.

---

A plane-wave DFT calculation with PBE was carried out for an optimized crystal structure of RePCl2.

It has space group I-42d (No. 122), with a = 8.756 Å, b = 8.756 Å, c = 4.549 Å, α = 90.00°, β = 90.00° and γ = 90.00°. The inequivalent atoms are Re at (0.000, 0.000, 0.000), P at (0.000, 0.000, 0.500) and Cl at (0.111, 0.250, 0.125).

The calculation puts the excess energy over the best structure of this formula in the dataset at 42.2 kJ/mol of atoms.

---

A plane-wave DFT calculation with PBE was carried out for an optimized crystal structure of RuPbAu2.

It has space group P2/m (No. 10), with a = 3.162 Å, b = 5.265 Å, c = 4.651 Å, α = 90.00°, β = 91.28° and γ = 90.00°. The inequivalent atoms are Ru at (0.000, 0.000, 0.000), Pb at (0.500, 0.000, 0.500) and Au at (0.242, 0.500, 0.758).

For the calculated formation energy, the calculation gives 0.399 eV per atom.

---

- Which formula does entry 1 have?
  HfScAlCu